The following is a DFT calculation (GGA-PBE) of crystalline PmSe6Br12 at its relaxed geometry.

CIF file:
```
data_PmSe6Br12
_symmetry_space_group_name_H-M 'R -3'
_symmetry_Int_Tables_number 148
_symmetry_space_group_name_Hall '-R 3'
_cell_length_a 11.1246
_cell_length_b 11.1246
_cell_length_c 20.3217
_cell_angle_alpha 90.00
_cell_angle_beta 90.00
_cell_angle_gamma 120.00
loop_
_atom_site_label
_atom_site_type_symbol
_atom_site_fract_x
_atom_site_fract_y
_atom_site_fract_z
Pm1 Pm 0.0000 0.0000 0.0000
Se1 Se 0.0307 0.1483 0.6463
Br1 Br 0.0359 0.8139 0.2476
Br2 Br 0.0680 0.8261 0.0806
```

- DOS(E_F) (states/eV/atom) = 0.58
- raw formation energy (meV per atom) = -334